# 1
Entry from Alexandria via LeMat-Bulk: a geometry-optimized Sc2PaTaO8 structure (PBE).

The space group is No. 65. Its total magnetic moment is 0.0000 μB per atom. For the uncorrected formation energy, the calculation gives -3.359 eV/atom.

Lattice parameters (Å, degrees): 4.852 4.852 6.651 90.00 90.00 90.99
Positions (direct):
Sc 0.000 0.000 0.238
Sc 0.000 0.000 0.762
Pa 0.500 0.500 0.500
Ta 0.500 0.500 0.000
O 0.192 0.192 0.500
O 0.205 0.205 0.000
O 0.309 0.691 0.229
O 0.309 0.691 0.771
O 0.691 0.309 0.229
O 0.691 0.309 0.771
O 0.795 0.795 0.000
O 0.808 0.808 0.500

# 2
Entry from Alexandria via LeMat-Bulk: a geometry-optimized ScPaTcO6 structure (PBE).

The space group is No. 163. Its total magnetic moment is 0.3333 μB per atom. For the uncorrected formation energy, the calculation gives -2.722 eV/atom.

Lattice parameters (Å, degrees): 5.431 5.431 9.160 90.00 90.00 120.00
Positions (direct):
Sc 0.000 0.000 0.000
Sc 0.000 0.000 0.500
Pa 0.333 0.667 0.250
Pa 0.667 0.333 0.750
Tc 0.333 0.667 0.750
Tc 0.667 0.333 0.250
O 0.022 0.345 0.630
O 0.022 0.677 0.870
O 0.323 0.345 0.870
O 0.323 0.978 0.630
O 0.345 0.022 0.130
O 0.345 0.323 0.370
O 0.655 0.677 0.630
O 0.655 0.978 0.870
O 0.677 0.022 0.370
O 0.677 0.655 0.130
O 0.978 0.323 0.130
O 0.978 0.655 0.370

# 3
Entry from Alexandria via LeMat-Bulk: a geometry-optimized ScPaTeO6 structure (PBE).

The space group is No. 163. Its total magnetic moment is 0.0000 μB per atom. For the uncorrected formation energy, the calculation gives -2.536 eV/atom.

Lattice parameters (Å, degrees): 5.674 5.674 9.066 90.00 90.00 120.00
Positions (direct):
Sc 0.000 0.000 0.000
Sc 0.000 0.000 0.500
Pa 0.333 0.667 0.250
Pa 0.667 0.333 0.750
Te 0.333 0.667 0.750
Te 0.667 0.333 0.250
O 0.002 0.329 0.129
O 0.002 0.673 0.371
O 0.327 0.329 0.371
O 0.327 0.998 0.129
O 0.329 0.002 0.629
O 0.329 0.327 0.871
O 0.671 0.673 0.129
O 0.671 0.998 0.371
O 0.673 0.002 0.871
O 0.673 0.671 0.629
O 0.998 0.327 0.629
O 0.998 0.671 0.871

# 4
Entry from Alexandria via LeMat-Bulk: a geometry-optimized ScPaTlO6 structure (PBE).

The space group is No. 149. Its total magnetic moment is 0.1059 μB per atom. For the uncorrected formation energy, the calculation gives -2.378 eV/atom.

Lattice parameters (Å, degrees): 5.529 5.529 4.844 90.00 90.00 120.00
Positions (direct):
Sc 0.000 0.000 0.000
Pa 0.333 0.667 0.500
Tl 0.667 0.333 0.000
O 0.018 0.331 0.243
O 0.018 0.687 0.757
O 0.313 0.331 0.757
O 0.313 0.982 0.243
O 0.669 0.687 0.243
O 0.669 0.982 0.757

# 5
Entry from Alexandria via LeMat-Bulk: a geometry-optimized ScPaTl2O6 structure (PBE).

The space group is No. 12. Its total magnetic moment is 0.0000 μB per atom. For the uncorrected formation energy, the calculation gives -2.263 eV/atom.

Lattice parameters (Å, degrees): 5.917 5.917 5.922 119.59 119.59 61.40
Positions (direct):
Sc 0.000 0.000 0.000
Pa 0.500 0.500 0.500
Tl 0.249 0.249 0.767
Tl 0.751 0.751 0.233
O 0.189 0.696 0.188
O 0.247 0.247 0.348
O 0.304 0.811 0.812
O 0.696 0.189 0.188
O 0.753 0.753 0.652
O 0.811 0.304 0.812

# 6
Entry from Alexandria via LeMat-Bulk: a geometry-optimized PaSe2O8 structure (PBE).

The space group is No. 12. Its total magnetic moment is 0.0807 μB per atom. For the uncorrected formation energy, the calculation gives -1.256 eV/atom.

Lattice parameters (Å, degrees): 6.164 6.164 5.545 103.24 103.24 60.45
Positions (direct):
Pa 0.000 0.000 0.000
Se 0.204 0.204 0.688
Se 0.796 0.796 0.312
O 0.080 0.672 0.198
O 0.149 0.149 0.356
O 0.328 0.920 0.802
O 0.364 0.364 0.778
O 0.636 0.636 0.222
O 0.672 0.080 0.198
O 0.851 0.851 0.644
O 0.920 0.328 0.802